1.
# K2AlIr, relaxed, DFT PBE
data_K2AlIr
_space_group_name_H-M_alt 'I m m 2'
_space_group_IT_number 44
_space_group_name_Hall 'I 2 -2'
_cell_length_a 3.992
_cell_length_b 5.715
_cell_length_c 10.675
_cell_angle_alpha 90.00
_cell_angle_beta 90.00
_cell_angle_gamma 90.00
loop_
_atom_site_label
_atom_site_type_symbol
_atom_site_fract_x
_atom_site_fract_y
_atom_site_fract_z
K1 K 0.000 0.000 0.000
K2 K 0.000 0.500 0.198
Al1 Al 0.000 0.500 0.799
Ir1 Ir 0.000 0.000 0.415
# Energy of formation: 0.932 eV per formula unit
# Volume: 122 Å³/f.u.
# Magnetic moment: 0.0 μB/cell

=====

2.
# K2AlIr, relaxed, DFT PBE
data_K2AlIr
_space_group_name_H-M_alt 'C 1 2/m 1'
_space_group_IT_number 12
_space_group_name_Hall '-C 2y'
_cell_length_a 5.450
_cell_length_b 11.577
_cell_length_c 3.173
_cell_angle_alpha 90.00
_cell_angle_beta 119.51
_cell_angle_gamma 90.00
loop_
_atom_site_label
_atom_site_type_symbol
_atom_site_fract_x
_atom_site_fract_y
_atom_site_fract_z
K1 K 0.250 0.250 0.000
Al1 Al 0.000 0.000 0.500
Ir1 Ir 0.000 0.500 0.500
# Energy of formation: 2.646 eV per formula unit
# Volume: 87 Å³/f.u.
# Magnetic moment: 0.0 μB/cell